The following is a DFT calculation (GGA-PBE) of Cs2PaCu2Te6 after structural relaxation.

Cell and atoms, written as extended XYZ:
```
11
Lattice="-0.493 0.463 6.591 6.589 -4.207 -2.542 0.736 10.291 -0.668" Properties=species:S:1:pos:R:3 pbc="T T T"
Te 6.076 -1.418 -1.120
Cs 2.361 0.594 3.465
Cs 4.472 5.953 -0.084
Cu 1.528 2.466 -0.059
Te 3.929 1.936 0.158
Te 0.756 7.965 4.502
Te 1.004 7.733 1.188
Pa 0.122 5.377 2.962
Te 2.904 4.611 3.224
Cu 5.305 4.081 3.440
Te 5.829 -1.185 2.193
```

Results
The value obtained for the energy relative to the elements, uncorrected is -0.5313 eV/atom.


The following is a DFT calculation (GGA-PBE) of Li2TiMn after structural relaxation.

Cell and atoms, written as extended XYZ:
```
4
Lattice="4.024 -0.136 1.167 1.648 3.154 2.215 0.995 -0.566 4.033" Properties=species:S:1:pos:R:3 pbc="T T T"
Li 1.667 0.613 1.854
Ti 0.000 0.000 0.000
Mn 3.334 1.226 3.707
Li 5.000 1.839 5.561
```

Results
The relative energy among the computed polymorphs comes out at 1.29 eV/f.u. The formation energy is 2.74 eV/f.u.


The following is a DFT calculation (GGA-PBE) of SrCa2Se after structural relaxation.

Cell and atoms, written as extended XYZ:
```
4
Lattice="7.123 -0.030 0.007 3.562 6.168 -0.007 -4.653 -4.269 3.295" Properties=species:S:1:pos:R:3 pbc="T T T"
Se 5.419 3.113 0.000
Sr 2.770 2.854 1.644
Ca 10.671 6.130 0.000
Ca 3.199 -1.022 1.651
```

Results
The value obtained for the energy relative to the elements, uncorrected is -0.7654 eV/atom.


The following is a DFT calculation (GGA-PBE) of SrLi2P after structural relaxation.

Cell and atoms, written as extended XYZ:
```
4
Lattice="-1.561 -3.621 1.742 2.064 -1.877 3.286 -2.766 1.132 5.214" Properties=species:S:1:pos:R:3 pbc="T T T"
P -1.641 -1.668 5.736
Li -2.294 0.654 4.647
Sr -0.646 -1.009 2.657
Li -1.579 -3.394 7.539
```

Results
The formation energy is -2.56 eV/f.u.


The following is a DFT calculation (GGA-PBE) of Ba2MgGa12Cu3 after structural relaxation.

Cell and atoms, written as extended XYZ:
```
18
Lattice="10.494 2.284 1.620 7.169 7.997 1.620 7.169 4.173 7.012" Properties=species:S:1:pos:R:3 pbc="T T T"
Ga 13.018 7.577 7.043
Ga 10.445 7.655 5.430
Ga 5.755 3.350 4.690
Cu 5.247 1.142 0.810
Ga 19.077 11.104 5.562
Cu 3.585 3.999 0.810
Mg 0.000 0.000 0.000
Ga 19.077 8.920 8.641
Ba 16.007 9.317 6.609
Ba 8.826 5.137 3.644
Ga 13.018 9.152 4.823
Ga 11.815 5.302 5.430
Ga 7.655 2.272 1.611
Ga 14.387 6.800 4.823
Ga 5.755 5.534 1.611
Ga 11.815 6.877 3.209
Ga 17.178 12.183 8.641
Cu 3.585 2.086 3.506
```

Results
The formation energy is -2.20 eV/f.u.


The following is a DFT calculation (GGA-PBE) of BaTeW2 after structural relaxation.

Cell and atoms, written as extended XYZ:
```
4
Lattice="3.442 0.000 0.000 0.000 5.041 0.000 0.000 0.000 5.453" Properties=species:S:1:pos:R:3 pbc="T T T"
Te 0.000 2.520 2.727
W 1.721 2.520 0.000
W 0.000 0.000 0.000
Ba 1.721 0.000 2.727
```

Results
The value obtained for the energy relative to the elements, uncorrected is 1.3897 eV/atom.


no.,total energy (eV per atom),Fermi-level density of states (states/eV/atom)
1,-4.008,0.6988
2,-4.537,1.7472
3,-3.058,0.2625
4,-3.369,0.1561
5,-3.125,0.4436
6,-6.353,1.1692